Record 1
The following is a GGA-PBE calculation of crystalline Dy3ErBi2C at its relaxed geometry, from Alexandria via LeMat-Bulk.

Unit cell a=4.8128 b=4.8585 c=16.0034 alpha=90.00 beta=90.00 gamma=90.00
Space group Immm (No. 71)
One atom of each set of equivalent atoms:
Dy 0.0000 0.0000 0.0000 [2 per cell]
Dy 0.0000 0.5000 0.1527 [4 per cell]
Er 0.0000 0.0000 0.5000 [2 per cell]
Bi 0.0000 0.5000 0.3558 [4 per cell]
C 0.0000 0.5000 0.0000 [2 per cell]

Summary:
As for the calculated formation energy: -648 meV per atom.

Record 2
The following is a GGA-PBE calculation of crystalline TiNbPt3 at its relaxed geometry, from Alexandria via LeMat-Bulk.

Unit cell a=4.6430 b=4.6430 c=4.6430 alpha=90.00 beta=90.00 gamma=90.00
Space group Pm-3m (No. 221)
One atom of each set of equivalent atoms:
Ti 0.0000 0.0000 0.0000 [1 per cell]
Nb 0.5000 0.5000 0.5000 [1 per cell]
Pt 0.0000 0.0000 0.5000 [3 per cell]

Summary:
As for the calculated formation energy: 551 meV per atom.

Record 3
The following is a GGA-PBE calculation of crystalline RbCu4Hg3Cl12 at its relaxed geometry, from Alexandria via LeMat-Bulk.

Unit cell a=13.9443 b=13.9443 c=10.3501 alpha=90.00 beta=90.00 gamma=120.00
Space group R32 (No. 155, hexagonal axes)
One atom of each set of equivalent atoms:
Rb 0.0000 0.0000 0.0000 [3 per cell]
Cu 0.0000 0.0000 0.5000 [3 per cell]
Cu 0.0000 0.4231 0.5000 [9 per cell]
Hg 0.0000 0.5643 0.0000 [9 per cell]
Cl 0.0000 0.5866 0.5000 [9 per cell]
Cl 0.0000 0.8414 0.5000 [9 per cell]
Cl 0.0464 0.2106 0.1939 [18 per cell]

Summary:
Its uncorrected formation energy is -0.65 eV per atom.

Record 4
The following is a GGA-PBE calculation of crystalline CdFe2Re at its relaxed geometry, from Alexandria via LeMat-Bulk.

Unit cell a=6.7675 b=6.7675 c=5.4743 alpha=90.00 beta=90.00 gamma=90.00
Space group I-42d (No. 122)
One atom of each set of equivalent atoms:
Cd 0.0000 0.0000 0.0000 [4 per cell]
Fe 0.2012 0.2500 0.6250 [8 per cell]
Re 0.0000 0.0000 0.5000 [4 per cell]

Summary:
As for the calculated formation energy: 892 meV per atom.

Record 5
The following is a GGA-PBE calculation of crystalline Sr2TlI2 at its relaxed geometry, from Alexandria via LeMat-Bulk.

Unit cell a=5.4280 b=5.4280 c=15.6844 alpha=90.00 beta=90.00 gamma=90.00
Space group I4/mmm (No. 139)
One atom of each set of equivalent atoms:
Sr 0.0000 0.0000 0.1240 [4 per cell]
Tl 0.0000 0.0000 0.5000 [2 per cell]
I 0.0000 0.5000 0.2500 [4 per cell]

Summary:
Its uncorrected formation energy is -0.82 eV per atom.

Record 6
The following is a GGA-PBE calculation of crystalline FeAsI2N at its relaxed geometry, from Alexandria via LeMat-Bulk.

Unit cell a=5.9072 b=5.9072 c=3.6739 alpha=90.00 beta=90.00 gamma=90.00
Space group P4/mmm (No. 123)
One atom of each set of equivalent atoms:
Fe 0.0000 0.0000 0.0000 [1 per cell]
As 0.5000 0.5000 0.5000 [1 per cell]
I 0.0000 0.5000 0.5000 [2 per cell]
N 0.5000 0.5000 0.0000 [1 per cell]

Summary:
Its uncorrected formation energy is 1.07 eV per atom.

Record 7
The following is a GGA-PBE calculation of crystalline GaCo2Rh2 at its relaxed geometry, from Alexandria via LeMat-Bulk.

Unit cell a=6.0185 b=6.0185 c=3.7290 alpha=90.00 beta=90.00 gamma=90.00
Space group P4/mbm (No. 127)
One atom of each set of equivalent atoms:
Ga 0.0000 0.0000 0.0000 [2 per cell]
Co 0.1328 0.3672 0.0000 [4 per cell]
Rh 0.1615 0.6615 0.5000 [4 per cell]

Summary:
As for the calculated formation energy: 91 meV per atom.

Record 8
The following is a GGA-PBE calculation of crystalline NiIr6Os at its relaxed geometry, from Alexandria via LeMat-Bulk.

Unit cell a=3.8381 b=3.8381 c=7.6849 alpha=90.00 beta=90.00 gamma=90.00
Space group P4/mmm (No. 123)
One atom of each set of equivalent atoms:
Ni 0.0000 0.0000 0.0000 [1 per cell]
Ir 0.0000 0.5000 0.2508 [4 per cell]
Ir 0.5000 0.5000 0.0000 [1 per cell]
Ir 0.5000 0.5000 0.5000 [1 per cell]
Os 0.0000 0.0000 0.5000 [1 per cell]

Summary:
As for the calculated formation energy: 1 meV per atom.

Record 9
The following is a GGA-PBE calculation of crystalline Mg2TlInCl6 at its relaxed geometry, from Alexandria via LeMat-Bulk.

Unit cell a=14.3323 b=13.0142 c=7.3508 alpha=90.00 beta=102.50 gamma=90.00
Space group C2/c (No. 15)
One atom of each set of equivalent atoms:
Mg 0.2126 0.0917 0.2578 [8 per cell]
Tl 0.0000 0.1940 0.7500 [4 per cell]
In 0.0000 0.4038 0.2500 [4 per cell]
Cl 0.1215 0.3929 0.6683 [8 per cell]
Cl 0.1359 0.2429 0.1435 [8 per cell]
Cl 0.1531 0.0382 0.5264 [8 per cell]

Summary:
Its uncorrected formation energy is -1.45 eV per atom.

Record 10
The following is a GGA-PBE calculation of crystalline CeSi2Ru3 at its relaxed geometry, from Alexandria via LeMat-Bulk.

Unit cell a=16.2113 b=4.0150 c=9.5348 alpha=90.00 beta=108.52 gamma=90.00
Space group C2/m (No. 12)
One atom of each set of equivalent atoms:
Ce 0.0000 0.0000 0.0000 [2 per cell]
Ce 0.1609 0.0000 0.7053 [4 per cell]
Si 0.0357 0.5000 0.7795 [4 per cell]
Si 0.1422 0.5000 0.4472 [4 per cell]
Si 0.1947 0.0000 0.1217 [4 per cell]
Ru 0.0000 0.5000 0.5000 [2 per cell]
Ru 0.0423 0.0000 0.3460 [4 per cell]
Ru 0.1136 0.5000 0.1864 [4 per cell]
Ru 0.1790 0.5000 0.9618 [4 per cell]
Ru 0.2136 0.0000 0.3863 [4 per cell]

Summary:
Its uncorrected formation energy is -0.63 eV per atom.

Record 11
The following is a GGA-PBE calculation of crystalline SmTlO4 at its relaxed geometry, from Alexandria via LeMat-Bulk.

Unit cell a=7.0419 b=3.7330 c=6.4796 alpha=90.00 beta=94.61 gamma=90.00
Space group Cm (No. 8)
One atom of each set of equivalent atoms:
Sm 0.0000 0.0000 0.0000 [2 per cell]
Tl 0.3534 0.0000 0.4622 [2 per cell]
O 0.0296 0.0000 0.3741 [2 per cell]
O 0.0831 0.5000 0.7686 [2 per cell]
O 0.2724 0.5000 0.6901 [2 per cell]
O 0.3246 0.0000 0.0822 [2 per cell]

Summary:
Its uncorrected formation energy is -1.64 eV per atom.

Record 12
The following is a GGA-PBE calculation of crystalline Sr2CaCu2Bi2O8 at its relaxed geometry, from Alexandria via LeMat-Bulk.

Unit cell a=3.7498 b=3.7498 c=31.5066 alpha=90.00 beta=90.00 gamma=90.00
Space group I4/mmm (No. 139)
One atom of each set of equivalent atoms:
Sr 0.0000 0.0000 0.1098 [4 per cell]
Ca 0.0000 0.0000 0.0000 [2 per cell]
Cu 0.0000 0.0000 0.4506 [4 per cell]
Bi 0.0000 0.0000 0.2995 [4 per cell]
O 0.0000 0.0000 0.1996 [4 per cell]
O 0.0000 0.0000 0.3654 [4 per cell]
O 0.0000 0.5000 0.0512 [8 per cell]

Summary:
Its uncorrected formation energy is -1.65 eV per atom.

Number 1: total moment 0.00 μB/f.u.. Number 2: total moment 2.03 μB/f.u.. Number 3: total moment 1.13 μB/f.u.. Number 4: total moment 0.00 μB/f.u.. Number 5: total moment 0.00 μB/f.u.. Number 6: total moment 3.48 μB/f.u.. Number 7: total moment 3.51 μB/f.u.. Number 8: total moment 0.00 μB/f.u.. Number 9: total moment 0.00 μB/f.u.. Number 10: total moment 0.00 μB/f.u.. Number 11: total moment 0.00 μB/f.u.. Number 12: total moment 0.00 μB/f.u..